Record 1
Crystalline SrAcTcO6 at its relaxed geometry, computed with GGA-PBE.

Cell lengths 5.7775, 5.7775, 5.1041 Å; angles 90.00, 90.00, 120.00 degrees
Positions (direct):
Sr  0.0000  0.0000  0.0000
Ac  0.6667  0.3333  0.5000
Tc  0.3333  0.6667  0.0000
O  0.0558  0.4025  0.2146
O  0.0558  0.6533  0.7854
O  0.3467  0.4025  0.7854
O  0.3467  0.9442  0.2146
O  0.5975  0.6533  0.2146
O  0.5975  0.9442  0.7854

M_tot, μB per cell: 0.0
Volume, Å³/f.u.: 148
Raw formation energy, eV/atom: -2.22
Symmetry: No. 149


Record 2
Crystalline SrAcTc2O8 at its relaxed geometry, computed with GGA-PBE.

Cell lengths 6.0279, 6.0279, 7.5473 Å; angles 90.00, 90.00, 120.00 degrees
Positions (direct):
Sr  0.0000  0.0000  0.0000
Ac  0.0000  0.0000  0.5000
Tc  0.3333  0.6667  0.8132
Tc  0.6667  0.3333  0.1868
O  0.1669  0.3338  0.7344
O  0.1669  0.8331  0.7344
O  0.3333  0.6667  0.0466
O  0.3338  0.1669  0.2656
O  0.6662  0.8331  0.7344
O  0.6667  0.3333  0.9534
O  0.8331  0.1669  0.2656
O  0.8331  0.6662  0.2656

M_tot, μB per cell: 3.0
Volume, Å³/f.u.: 237
Raw formation energy, eV/atom: -2.03
Symmetry: No. 164